KHPd after structural relaxation. Source: Alexandria, functional PBE.

Calculated values
The energy is -17.2 eV/cell. Its space group is Imma (74). As for the crystal system: orthorhombic.

Lattice parameters (Å, degrees): 5.111 5.111 5.111 103.20 114.90 110.53
Positions (direct):
K (0.250, 0.085, 0.835)
H (0.000, 0.500, 0.500)
K (0.750, 0.915, 0.165)
H (0.500, 0.000, 0.500)
Pd (0.000, 0.500, 0.000)
Pd (0.500, 0.500, 0.500)